1.
NpPd6Au2: optimized geometry, PBE.

Results
final energy	-5.7697	eV/atom
energy of formation	-0.1416	eV per atom
total moment	0.008	μB/atom
relative energy among the computed polymorphs	0	meV/atom

Lattice parameters (Å, degrees): 7.602 4.885 8.377 90.00 99.09 90.00
Space group C2/m (No. 12)
Unique sites:
1 Np 0.000 0.000 0.000 x2
2 Pd 0.000 0.000 0.323 x4
3 Pd 0.164 0.500 0.118 x4
4 Pd 0.172 0.500 0.787 x4
5 Au 0.167 0.500 0.448 x4

2.
NpPd3Au: optimized geometry, PBE.

Results
final energy	-6.3998	eV/atom
energy of formation	-0.0405	eV per atom
total moment	0.705	μB/atom
relative energy among the computed polymorphs	196	meV/atom

Lattice parameters (Å, degrees): 5.297 7.660 9.750 90.00 90.00 90.00
Space group Imma (No. 74)
Unique sites:
1 Np 0.000 0.250 0.003 x4
2 Pd 0.000 0.063 0.782 x8
3 Pd 0.250 0.250 0.250 x4
4 Au 0.000 0.000 0.500 x4

3.
NpPd3Au: optimized geometry, PBE.

Results
final energy	-6.5955	eV/atom
energy of formation	-0.2362	eV per atom
total moment	0.754	μB/atom
relative energy among the computed polymorphs	0	meV/atom

Lattice parameters (Å, degrees): 5.206 5.747 6.542 100.01 99.50 107.91
Space group P-1 (No. 2)
Unique sites:
1 Np 0.211 0.386 0.389 x2
2 Pd 0.000 0.000 0.000 x1
3 Pd 0.000 0.500 0.000 x1
4 Pd 0.215 0.890 0.394 x2
5 Pd 0.376 0.300 0.800 x2
6 Au 0.390 0.809 0.809 x2

4.
NpPdAu2: optimized geometry, PBE.

Results
final energy	-6.3224	eV/atom
energy of formation	-0.1503	eV per atom
total moment	0.942	μB/atom
relative energy among the computed polymorphs	66	meV/atom

Lattice parameters (Å, degrees): 6.870 6.870 6.870 90.00 90.00 90.00
Space group Fm-3m (No. 225)
Unique sites:
1 Np 0.000 0.000 0.000 x4
2 Pd 0.000 0.000 0.500 x4
3 Au 0.250 0.250 0.250 x8